A plane-wave DFT calculation with PBE-GGA was carried out for an optimized crystal structure of TiBeZnCr2.

Cell: 4.412 4.412 3.836 Å, 90.00 90.00 90.00°
Element x y z (fractional)
Ti (0.000, 0.000, 0.000)
Be (0.500, 0.500, 0.000)
Zn (0.500, 0.500, 0.500)
Cr (0.000, 0.500, 0.500)
Cr (0.500, 0.000, 0.500)

**DFT formation energy**: 1.15 eV/atom
**DOS(E_F)**: 5.21 states/eV/cell


A plane-wave DFT calculation with PBE-GGA was carried out for an optimized crystal structure of CsTh2AgSe5.

Cell: 9.786 9.786 9.786 Å, 130.02 130.02 73.37°
Element x y z (fractional)
Cs (0.250, 0.250, 0.000)
Cs (0.750, 0.750, 0.000)
Th (0.164, 0.664, 0.827)
Th (0.336, 0.164, 0.500)
Th (0.664, 0.836, 0.500)
Th (0.836, 0.336, 0.173)
Ag (0.250, 0.750, 0.500)
Ag (0.750, 0.250, 0.500)
Se (0.000, 0.000, 0.000)
Se (0.027, 0.241, 0.500)
Se (0.241, 0.741, 0.214)
Se (0.259, 0.473, 0.500)
Se (0.473, 0.973, 0.214)
Se (0.500, 0.500, 0.000)
Se (0.527, 0.027, 0.786)
Se (0.741, 0.527, 0.500)
Se (0.759, 0.259, 0.786)
Se (0.973, 0.759, 0.500)

**Uncorrected formation energy**: -1414.6 meV per atom


A plane-wave DFT calculation with PBE-GGA was carried out for an optimized crystal structure of AcTbHgSb.

Cell: 5.549 5.549 5.549 Å, 60.00 60.00 60.00°
Element x y z (fractional)
Ac (0.000, 0.000, 0.000)
Tb (0.500, 0.500, 0.500)
Hg (0.750, 0.750, 0.750)
Sb (0.250, 0.250, 0.250)

**DOS(E_F)**: 4.44 states/eV/cell
**Uncorrected formation energy**: -603.6 meV per atom


A plane-wave DFT calculation with PBE-GGA was carried out for an optimized crystal structure of LiBe2Ga2.

Cell: 7.262 7.262 2.521 Å, 90.00 90.00 90.00°
Element x y z (fractional)
Li (0.000, 0.000, 0.000)
Li (0.500, 0.500, 0.000)
Be (0.129, 0.371, 0.000)
Be (0.371, 0.871, 0.000)
Be (0.629, 0.129, 0.000)
Be (0.871, 0.629, 0.000)
Ga (0.166, 0.666, 0.500)
Ga (0.334, 0.166, 0.500)
Ga (0.666, 0.834, 0.500)
Ga (0.834, 0.334, 0.500)

**DFT formation energy**: 0.12 eV/atom
**DOS(E_F)**: 2.75 states/eV/cell
**Offset from the most stable computed form**: 0.044 eV per atom


A plane-wave DFT calculation with PBE-GGA was carried out for an optimized crystal structure of LaSiPb3.

Cell: 5.421 5.421 5.421 Å, 90.00 90.00 90.00°
Element x y z (fractional)
La (0.000, 0.000, 0.000)
Si (0.500, 0.500, 0.500)
Pb (0.000, 0.500, 0.500)
Pb (0.500, 0.000, 0.500)
Pb (0.500, 0.500, 0.000)

**DOS(E_F)**: 3.93 states/eV/cell
**Uncorrected formation energy**: 212.5 meV per atom
**Offset from the most stable computed form**: 0.000 eV per atom


A plane-wave DFT calculation with PBE-GGA was carried out for an optimized crystal structure of Mg2GeB2Ru5.

Cell: 9.415 9.415 2.939 Å, 90.00 90.00 90.00°
Element x y z (fractional)
Mg (0.176, 0.324, 0.000)
Mg (0.324, 0.824, 0.000)
Mg (0.676, 0.176, 0.000)
Mg (0.824, 0.676, 0.000)
Ge (0.000, 0.000, 0.000)
Ge (0.500, 0.500, 0.000)
B (0.125, 0.625, 0.000)
B (0.375, 0.125, 0.000)
B (0.625, 0.875, 0.000)
B (0.875, 0.375, 0.000)
Ru (0.000, 0.500, 0.500)
Ru (0.069, 0.787, 0.500)
Ru (0.213, 0.069, 0.500)
Ru (0.287, 0.569, 0.500)
Ru (0.431, 0.287, 0.500)
Ru (0.500, 0.000, 0.500)
Ru (0.569, 0.713, 0.500)
Ru (0.713, 0.431, 0.500)
Ru (0.787, 0.931, 0.500)
Ru (0.931, 0.213, 0.500)

**DFT formation energy**: -0.27 eV/atom
**DOS(E_F)**: 18.81 states/eV/cell


A plane-wave DFT calculation with PBE-GGA was carried out for an optimized crystal structure of Ac2Tb7Er4.

Cell: 6.186 6.186 13.312 Å, 90.00 90.00 120.00°
Element x y z (fractional)
Ac (0.333, 0.667, 0.000)
Ac (0.667, 0.333, 0.000)
Tb (0.000, 0.000, 0.000)
Tb (0.000, 0.359, 0.776)
Tb (0.000, 0.641, 0.224)
Tb (0.359, 0.000, 0.776)
Tb (0.359, 0.359, 0.224)
Tb (0.641, 0.000, 0.224)
Tb (0.641, 0.641, 0.776)
Er (0.000, 0.000, 0.395)
Er (0.000, 0.000, 0.605)
Er (0.333, 0.667, 0.500)
Er (0.667, 0.333, 0.500)

**DFT formation energy**: 0.23 eV/atom
**DOS(E_F)**: 20.66 states/eV/cell


A plane-wave DFT calculation with PBE-GGA was carried out for an optimized crystal structure of Hf2ZrZn2.

Cell: 7.688 7.688 3.284 Å, 90.00 90.00 90.00°
Element x y z (fractional)
Hf (0.178, 0.322, 0.000)
Hf (0.322, 0.822, 0.000)
Hf (0.678, 0.178, 0.000)
Hf (0.822, 0.678, 0.000)
Zr (0.000, 0.000, 0.500)
Zr (0.500, 0.500, 0.500)
Zn (0.119, 0.619, 0.500)
Zn (0.381, 0.119, 0.500)
Zn (0.619, 0.881, 0.500)
Zn (0.881, 0.381, 0.500)

**DFT formation energy**: -0.12 eV/atom
**DOS(E_F)**: 10.85 states/eV/cell
**Offset from the most stable computed form**: 0.000 eV per atom


A plane-wave DFT calculation with PBE-GGA was carried out for an optimized crystal structure of Ce8Pu3Mg2.

Cell: 8.050 8.050 6.461 Å, 98.04 98.04 59.29°
Element x y z (fractional)
Ce (0.071, 0.726, 0.055)
Ce (0.098, 0.098, 0.441)
Ce (0.274, 0.929, 0.945)
Ce (0.295, 0.295, 0.697)
Ce (0.705, 0.705, 0.303)
Ce (0.726, 0.071, 0.055)
Ce (0.902, 0.902, 0.559)
Ce (0.929, 0.274, 0.945)
Pu (0.315, 0.685, 0.500)
Pu (0.500, 0.500, 0.000)
Pu (0.685, 0.315, 0.500)
Mg (0.297, 0.297, 0.215)
Mg (0.703, 0.703, 0.785)

**DFT formation energy**: 0.23 eV/atom
**DOS(E_F)**: 36.90 states/eV/cell


A plane-wave DFT calculation with PBE-GGA was carried out for an optimized crystal structure of CuSbSe2.

Cell: 7.972 7.964 6.454 Å, 90.00 90.00 90.00°
Element x y z (fractional)
Cu (0.062, 0.132, 0.000)
Cu (0.438, 0.632, 0.500)
Cu (0.562, 0.368, 0.000)
Cu (0.938, 0.868, 0.500)
Sb (0.149, 0.578, 0.006)
Sb (0.351, 0.078, 0.506)
Sb (0.649, 0.922, 0.006)
Sb (0.851, 0.422, 0.506)
Se (0.021, 0.149, 0.628)
Se (0.145, 0.657, 0.607)
Se (0.355, 0.157, 0.107)
Se (0.479, 0.649, 0.128)
Se (0.521, 0.351, 0.628)
Se (0.645, 0.843, 0.607)
Se (0.855, 0.343, 0.107)
Se (0.979, 0.851, 0.128)

**Uncorrected formation energy**: -151.1 meV per atom


A plane-wave DFT calculation with PBE-GGA was carried out for an optimized crystal structure of PtCS2N.

Cell: 5.451 5.451 2.467 Å, 90.00 90.00 90.00°
Element x y z (fractional)
Pt (0.000, 0.000, 0.000)
C (0.500, 0.500, 0.500)
S (0.000, 0.500, 0.500)
S (0.500, 0.000, 0.500)
N (0.500, 0.500, 0.000)

**DOS(E_F)**: 3.52 states/eV/cell
**Uncorrected formation energy**: 1053.7 meV per atom
**Offset from the most stable computed form**: 0.000 eV per atom


A plane-wave DFT calculation with PBE-GGA was carried out for an optimized crystal structure of Ba3YBi2O8.

Cell: 6.300 6.300 8.141 Å, 90.00 90.00 120.00°
Element x y z (fractional)
Ba (0.000, 0.000, 0.000)
Ba (0.333, 0.667, 0.628)
Ba (0.667, 0.333, 0.372)
Y (0.000, 0.000, 0.500)
Bi (0.333, 0.667, 0.194)
Bi (0.667, 0.333, 0.806)
O (0.163, 0.326, 0.331)
O (0.163, 0.837, 0.331)
O (0.326, 0.163, 0.669)
O (0.333, 0.667, 0.925)
O (0.667, 0.333, 0.075)
O (0.674, 0.837, 0.331)
O (0.837, 0.163, 0.669)
O (0.837, 0.674, 0.669)

**DOS(E_F)**: 5.17 states/eV/cell
**Uncorrected formation energy**: -2063.1 meV per atom


A plane-wave DFT calculation with PBE-GGA was carried out for an optimized crystal structure of LiScAs2Br.

Cell: 4.489 4.489 5.182 Å, 90.00 90.00 90.00°
Element x y z (fractional)
Li (0.000, 0.000, 0.000)
Sc (0.500, 0.500, 0.500)
As (0.000, 0.500, 0.000)
As (0.500, 0.000, 0.000)
Br (0.000, 0.000, 0.500)

**DOS(E_F)**: 2.21 states/eV/cell
**Uncorrected formation energy**: -117.8 meV per atom
**Offset from the most stable computed form**: 0.238 eV per atom


A plane-wave DFT calculation with PBE-GGA was carried out for an optimized crystal structure of AcPm4Nd4.

Cell: 8.282 8.282 8.282 Å, 95.74 95.74 143.14°
Element x y z (fractional)
Ac (0.000, 0.000, 0.000)
Pm (0.000, 0.336, 0.336)
Pm (0.000, 0.664, 0.664)
Pm (0.336, 0.000, 0.336)
Pm (0.664, 0.000, 0.664)
Nd (0.330, 0.330, 0.661)
Nd (0.330, 0.670, 0.000)
Nd (0.670, 0.330, 0.000)
Nd (0.670, 0.670, 0.339)

**DFT formation energy**: 0.02 eV/atom
**DOS(E_F)**: 15.37 states/eV/cell
**Offset from the most stable computed form**: 0.007 eV per atom


A plane-wave DFT calculation with PBE-GGA was carried out for an optimized crystal structure of Sc6BPb2.

Cell: 6.547 6.547 6.547 Å, 60.00 60.00 60.00°
Element x y z (fractional)
Sc (0.248, 0.248, 0.752)
Sc (0.248, 0.752, 0.248)
Sc (0.248, 0.752, 0.752)
Sc (0.752, 0.248, 0.248)
Sc (0.752, 0.248, 0.752)
Sc (0.752, 0.752, 0.248)
B (0.000, 0.000, 0.000)
Pb (0.250, 0.250, 0.250)
Pb (0.750, 0.750, 0.750)

**DFT formation energy**: -0.42 eV/atom
**DOS(E_F)**: 11.23 states/eV/cell


A plane-wave DFT calculation with PBE-GGA was carried out for an optimized crystal structure of Sm2NpAgS5.

Cell: 8.455 8.455 12.155 Å, 90.00 90.00 152.92°
Element x y z (fractional)
Sm (0.115, 0.885, 0.500)
Sm (0.126, 0.874, 0.115)
Sm (0.874, 0.126, 0.615)
Sm (0.885, 0.115, 0.000)
Np (0.193, 0.807, 0.817)
Np (0.807, 0.193, 0.317)
Ag (0.475, 0.525, 0.283)
Ag (0.525, 0.475, 0.783)
S (0.045, 0.955, 0.899)
S (0.291, 0.709, 0.475)
S (0.304, 0.696, 0.155)
S (0.359, 0.641, 0.814)
S (0.500, 0.500, 0.087)
S (0.500, 0.500, 0.587)
S (0.641, 0.359, 0.314)
S (0.696, 0.304, 0.655)
S (0.709, 0.291, 0.975)
S (0.955, 0.045, 0.399)

**DOS(E_F)**: 18.88 states/eV/cell
**Uncorrected formation energy**: -1454.8 meV per atom


A plane-wave DFT calculation with PBE-GGA was carried out for an optimized crystal structure of Ru5Rh.

Cell: 6.033 6.033 3.828 Å, 90.00 90.00 142.99°
Element x y z (fractional)
Ru (0.000, 0.000, 0.000)
Ru (0.168, 0.832, 0.500)
Ru (0.332, 0.668, 0.000)
Ru (0.668, 0.332, 0.000)
Ru (0.832, 0.168, 0.500)
Rh (0.500, 0.500, 0.500)

**DFT formation energy**: 0.09 eV/atom
**DOS(E_F)**: 6.59 states/eV/cell
**Offset from the most stable computed form**: 0.083 eV per atom


A plane-wave DFT calculation with PBE-GGA was carried out for an optimized crystal structure of K2BaBe.

Cell: 8.219 8.219 8.219 Å, 149.93 132.26 57.47°
Element x y z (fractional)
K (0.000, 0.000, 0.000)
K (0.672, 0.172, 0.500)
Ba (0.324, 0.824, 0.500)
Be (0.486, 0.486, 0.000)

**DFT formation energy**: 0.57 eV/atom
**DOS(E_F)**: 4.52 states/eV/cell


A plane-wave DFT calculation with PBE-GGA was carried out for an optimized crystal structure of V2CrNi.

Cell: 9.250 9.250 9.250 Å, 158.35 158.35 30.80°
Element x y z (fractional)
V (0.121, 0.625, 0.996)
V (0.375, 0.371, 0.496)
V (0.629, 0.125, 0.004)
V (0.875, 0.879, 0.504)
Cr (0.000, 0.000, 0.000)
Cr (0.750, 0.250, 0.500)
Ni (0.250, 0.750, 0.500)
Ni (0.500, 0.500, 0.000)

**DFT formation energy**: 0.54 eV/atom
**DOS(E_F)**: 11.13 states/eV/cell


A plane-wave DFT calculation with PBE-GGA was carried out for an optimized crystal structure of Sm2Ga3Rh.

Cell: 3.832 4.344 7.723 Å, 90.00 90.00 90.00°
Element x y z (fractional)
Sm (0.000, 0.000, 0.000)
Sm (0.000, 0.500, 0.468)
Ga (0.500, 0.000, 0.646)
Ga (0.500, 0.500, 0.149)
Ga (0.500, 0.500, 0.817)
Rh (0.500, 0.000, 0.315)

**DFT formation energy**: -0.72 eV/atom
**DOS(E_F)**: 4.30 states/eV/cell


no.,total DFT energy (no corrections) (eV for the cell shown),calculated density (g/cm³)
1,-26.4,5.03
2,-97.4,6.81
3,-15.6,9.74
4,-29.7,4.11
5,-20.4,8.22
6,-140.4,8.26
7,-55.8,8.41
8,-63.2,9.91
9,-90.7,8.89
10,-63.2,5.56
11,-26.6,6.46
12,-88.5,6.21
13,-19.8,4.48
14,-42.0,7.11
15,-55.9,5.82
16,-117.9,6.77
17,-53.2,12.04
18,-5.6,1.82
19,-63.0,6.56
20,-30.2,7.91